Compound: LaZnCd
Source: Alexandria
Functional: PBE
Structure: optimized geometry

Calculated values
Its crystal system is orthorhombic. The calculation puts the total DFT energy (no corrections) at -48.8 eV per cell. The value obtained for the volume is 455.6 Å³/cell. For the total moment, the calculation gives 0.000 μB/atom.

Lattice parameters (Å, degrees): 13.735 4.321 7.677 90.00 90.00 90.00
Space group Pmma (No. 51)
Asymmetric unit:
La1 0.041 0.000 0.243
La2 0.250 0.000 0.634
Zn1 0.090 0.500 0.543
Zn2 0.250 0.000 0.054
Cd1 0.128 0.500 0.923
Cd2 0.250 0.500 0.292

***

Compound: ScNbSbTe2
Source: Alexandria
Functional: PBE
Structure: optimized geometry

Calculated values
The distance to the lowest polymorph of the same formula is 0 meV per atom. Its crystal system is tetragonal. The value obtained for the volume is 157.0 Å³/cell. The calculation puts the formation energy (no corrections) at 1.199 eV/f.u. For the total moment, the calculation gives 0.178 μB/atom.

Lattice parameters (Å, degrees): 5.403 5.403 5.378 90.00 90.00 90.00
Space group P4/mmm (No. 123)
Asymmetric unit:
Sc1 0.000 0.000 0.000
Nb1 0.500 0.500 0.500
Sb1 0.500 0.500 0.000
Te1 0.000 0.500 0.500

***

Compound: LiHoPb2S4
Source: Alexandria
Functional: PBE
Structure: optimized geometry

Calculated values
Its crystal system is monoclinic. The value obtained for the volume is 189.3 Å³/cell. The calculation puts the formation energy (no corrections) at -9.092 eV/f.u. For the total moment, the calculation gives 0.000 μB/atom.

Lattice parameters (Å, degrees): 6.920 4.051 7.120 90.00 108.51 90.00
Space group P2/m (No. 10)
Asymmetric unit:
Li1 0.000 0.000 0.000
Ho1 0.500 0.500 0.000
Pb1 0.000 0.500 0.500
Pb2 0.500 0.000 0.500
S1 0.247 0.500 0.224
S2 0.260 0.000 0.780

***

Compound: Sr2PrBr
Source: Alexandria
Functional: PBE
Structure: optimized geometry

Calculated values
The distance to the lowest polymorph of the same formula is 0 meV per atom. Its crystal system is tetragonal. The value obtained for the volume is 155.0 Å³/cell. The calculation puts the formation energy (no corrections) at -2.446 eV/f.u. For the total moment, the calculation gives 0.000 μB/atom.

Lattice parameters (Å, degrees): 3.843 3.843 10.495 90.00 90.00 90.00
Space group P4/mmm (No. 123)
Asymmetric unit:
Sr1 0.000 0.000 0.222
Pr1 0.500 0.500 0.500
Br1 0.500 0.500 0.000

***

Compound: Ce2Mg2Hg3
Source: Alexandria
Functional: PBE
Structure: optimized geometry

Calculated values
Its crystal system is triclinic. The calculation puts the total DFT energy (no corrections) at -17.5 eV per cell. The value obtained for the volume is 165.3 Å³/cell. For the total moment, the calculation gives 0.216 μB/atom.

Lattice parameters (Å, degrees): 4.916 4.922 8.367 72.98 73.10 60.13
Space group P-1 (No. 2)
Asymmetric unit:
Ce1 0.139 0.138 0.075
Mg1 0.288 0.290 0.635
Hg1 0.000 0.000 0.500
Hg2 0.421 0.420 0.234

***

Compound: YTaMo2
Source: Alexandria
Functional: PBE
Structure: optimized geometry

Calculated values
The distance to the lowest polymorph of the same formula is 166 meV per atom. Its crystal system is tetragonal. The value obtained for the volume is 74.7 Å³/cell. For the total moment, the calculation gives 0.000 μB/atom.

Lattice parameters (Å, degrees): 4.781 4.781 3.268 90.00 90.00 90.00
Space group P4/mmm (No. 123)
Asymmetric unit:
Y1 0.000 0.000 0.000
Ta1 0.500 0.500 0.000
Mo1 0.000 0.500 0.500

***

Compound: LaTb2Ir
Source: Alexandria
Functional: PBE
Structure: optimized geometry

Calculated values
The distance to the lowest polymorph of the same formula is 37 meV per atom. Its crystal system is orthorhombic. The value obtained for the volume is 456.2 Å³/cell. For the total moment, the calculation gives 0.000 μB/atom.

Lattice parameters (Å, degrees): 3.905 12.343 9.465 90.00 90.00 90.00
Space group Cmcm (No. 63)
Asymmetric unit:
La1 0.000 0.075 0.250
Tb1 0.000 0.356 0.068
Ir1 0.000 0.246 0.750

***

Compound: LiSiAs2
Source: Alexandria
Functional: PBE
Structure: optimized geometry

Calculated values
Its crystal system is orthorhombic. The value obtained for the volume is 137.2 Å³/cell. The calculation puts the formation energy (no corrections) at 0.157 eV/f.u. For the total moment, the calculation gives 0.000 μB/atom.

Lattice parameters (Å, degrees): 5.519 7.116 3.494 90.00 90.00 90.00
Space group Cmmm (No. 65)
Asymmetric unit:
Li1 0.000 0.000 0.000
Si1 0.000 0.500 0.000
As1 0.250 0.250 0.500

***

Compound: Re2RhSe
Source: Alexandria
Functional: PBE
Structure: optimized geometry

Calculated values
Its crystal system is monoclinic. The value obtained for the volume is 123.5 Å³/cell. The calculation puts the formation energy (no corrections) at 1.472 eV/f.u. For the total moment, the calculation gives 0.000 μB/atom.

Lattice parameters (Å, degrees): 9.282 2.883 4.617 90.00 91.80 90.00
Space group Cm (No. 8)
Asymmetric unit:
Re1 0.000 0.000 0.000
Re2 0.227 0.500 0.218
Rh1 0.272 0.000 0.741
Se1 0.009 0.500 0.542

***

Compound: CaTe2Os
Source: Alexandria
Functional: PBE
Structure: optimized geometry

Calculated values
The distance to the lowest polymorph of the same formula is 935 meV per atom. Its crystal system is cubic. The value obtained for the volume is 373.9 Å³/cell. The calculation puts the formation energy (no corrections) at 2.224 eV/f.u. For the total moment, the calculation gives 0.000 μB/atom.

Lattice parameters (Å, degrees): 7.204 7.204 7.204 90.00 90.00 90.00
Space group F-43m (No. 216)
Asymmetric unit:
Ca1 0.000 0.000 0.000
Te1 0.000 0.000 0.500
Te2 0.250 0.250 0.750
Os1 0.250 0.250 0.250

***

Compound: AcSiSnPt6
Source: Alexandria
Functional: PBE
Structure: optimized geometry

Calculated values
Its crystal system is orthorhombic. The value obtained for the volume is 768.3 Å³/cell. The calculation puts the formation energy (no corrections) at -4.041 eV/f.u. For the total moment, the calculation gives 0.000 μB/atom.

Lattice parameters (Å, degrees): 7.491 8.721 11.760 90.00 90.00 90.00
Space group Imma (No. 74)
Asymmetric unit:
Ac1 0.000 0.250 0.170
Si1 0.000 0.000 0.500
Sn1 0.250 0.250 0.750
Pt1 0.000 0.250 0.421
Pt2 0.000 0.250 0.907
Pt3 0.248 0.010 0.883

***

Compound: Rb2Pb3
Source: Alexandria
Functional: PBE
Structure: optimized geometry

Calculated values
Its crystal system is orthorhombic. The calculation puts the total DFT energy (no corrections) at -54.1 eV per cell. The value obtained for the volume is 864.9 Å³/cell. For the total moment, the calculation gives 0.000 μB/atom.

Lattice parameters (Å, degrees): 6.798 13.628 9.336 90.00 90.00 90.00
Space group Cmce (No. 64)
Asymmetric unit:
Rb1 0.000 0.153 0.113
Pb1 0.000 0.000 0.500
Pb2 0.250 0.102 0.750

***

Compound: CaSb2Br
Source: Alexandria
Functional: PBE
Structure: optimized geometry

Calculated values
The distance to the lowest polymorph of the same formula is 759 meV per atom. Its crystal system is cubic. The value obtained for the volume is 469.0 Å³/cell. The calculation puts the formation energy (no corrections) at -0.309 eV/f.u. For the total moment, the calculation gives 0.000 μB/atom.

Lattice parameters (Å, degrees): 7.770 7.770 7.770 90.00 90.00 90.00
Space group Fm-3m (No. 225)
Asymmetric unit:
Ca1 0.000 0.000 0.000
Sb1 0.250 0.250 0.250
Br1 0.000 0.000 0.500

***

Compound: RbTaHg
Source: Alexandria
Functional: PBE
Structure: optimized geometry

Calculated values
The distance to the lowest polymorph of the same formula is 321 meV per atom. Its crystal system is triclinic. The value obtained for the volume is 206.5 Å³/cell. For the total moment, the calculation gives 0.000 μB/atom.

Lattice parameters (Å, degrees): 4.547 5.161 8.843 95.69 90.10 90.05
Space group P-1 (No. 2)
Asymmetric unit:
Rb1 0.250 0.233 0.364
Ta1 0.250 0.893 0.972
Hg1 0.249 0.364 0.839

***

Compound: Na2CrBi
Source: Alexandria
Functional: PBE
Structure: optimized geometry

Calculated values
Its crystal system is tetragonal. The calculation puts the total DFT energy (no corrections) at -58.1 eV per cell. The value obtained for the volume is 458.3 Å³/cell. For the total moment, the calculation gives 1.228 μB/atom.

Lattice parameters (Å, degrees): 8.920 8.920 5.761 90.00 90.00 90.00
Space group I-42d (No. 122)
Asymmetric unit:
Na1 0.249 0.250 0.125
Cr1 0.000 0.000 0.500
Bi1 0.000 0.000 0.000

***

Compound: YZr2W
Source: Alexandria
Functional: PBE
Structure: optimized geometry

Calculated values
The distance to the lowest polymorph of the same formula is 229 meV per atom. Its crystal system is monoclinic. The value obtained for the volume is 174.5 Å³/cell. For the total moment, the calculation gives 0.000 μB/atom.

Lattice parameters (Å, degrees): 6.201 10.069 3.006 90.00 111.64 90.00
Space group C2/m (No. 12)
Asymmetric unit:
Y1 0.000 0.000 0.000
Zr1 0.250 0.250 0.500
W1 0.000 0.500 0.000

***

Compound: Hf3Mn7Cr2
Source: Alexandria
Functional: PBE
Structure: optimized geometry

Calculated values
Its crystal system is trigonal. The calculation puts the total DFT energy (no corrections) at -344.5 eV per cell. The value obtained for the volume is 496.1 Å³/cell. For the total moment, the calculation gives 0.438 μB/atom.

Lattice parameters (Å, degrees): 4.9682 4.9682 23.2073 90.00 90.00 120.00
Space group R-3m (No. 166, hexagonal axes)
Asymmetric unit:
Hf1 0.0000 0.0000 0.0000
Hf2 0.0000 0.0000 0.1426
Mn1 0.0000 0.0000 0.5000
Mn2 0.0036 0.5018 0.9167
Cr1 0.0000 0.0000 0.3337

***

Compound: Ba2Pu3HgO12
Source: Alexandria
Functional: PBE
Structure: optimized geometry

Calculated values
Its crystal system is trigonal. The value obtained for the volume is 925.5 Å³/cell. The calculation puts the formation energy (no corrections) at -42.298 eV/f.u. For the total moment, the calculation gives 0.220 μB/atom.

Lattice parameters (Å, degrees): 7.8782 7.8782 17.2180 90.00 90.00 120.00
Space group R-3m (No. 166, hexagonal axes)
Asymmetric unit:
Ba1 0.0000 0.0000 0.1116
Pu1 0.0000 0.5000 0.0000
Hg1 0.0000 0.0000 0.5000
O1 0.0560 0.5280 0.3102
O2 0.0779 0.5389 0.8959

***

Compound: TbSc2Tl3
Source: Alexandria
Functional: PBE
Structure: optimized geometry

Calculated values
Its crystal system is tetragonal. The calculation puts the total DFT energy (no corrections) at -26.1 eV per cell. The value obtained for the volume is 148.6 Å³/cell. For the total moment, the calculation gives 0.000 μB/atom.

Lattice parameters (Å, degrees): 3.637 3.637 11.237 90.00 90.00 90.00
Space group P4/mmm (No. 123)
Asymmetric unit:
Tb1 0.000 0.000 0.000
Sc1 0.000 0.000 0.342
Tl1 0.500 0.500 0.182
Tl2 0.500 0.500 0.500

***

Compound: IrOsRu4
Source: Alexandria
Functional: PBE
Structure: optimized geometry

Calculated values
The distance to the lowest polymorph of the same formula is 49 meV per atom. Its crystal system is monoclinic. The value obtained for the volume is 84.4 Å³/cell. For the total moment, the calculation gives 0.000 μB/atom.

Lattice parameters (Å, degrees): 4.738 2.729 6.713 90.00 103.51 90.00
Space group P2/m (No. 10)
Asymmetric unit:
Ir1 0.000 0.000 0.000
Os1 0.500 0.500 0.000
Ru1 0.221 0.000 0.663
Ru2 0.280 0.500 0.340

***

Compound: AgSb3Mo
Source: Alexandria
Functional: PBE
Structure: optimized geometry

Calculated values
The distance to the lowest polymorph of the same formula is 0 meV per atom. Its crystal system is cubic. The value obtained for the volume is 143.5 Å³/cell. The calculation puts the formation energy (no corrections) at 2.941 eV/f.u. For the total moment, the calculation gives 0.000 μB/atom.

Lattice parameters (Å, degrees): 5.235 5.235 5.235 90.00 90.00 90.00
Space group Pm-3m (No. 221)
Asymmetric unit:
Ag1 0.000 0.000 0.000
Sb1 0.000 0.500 0.500
Mo1 0.500 0.500 0.500

***

Compound: V3ZnGe
Source: Alexandria
Functional: PBE
Structure: optimized geometry

Calculated values
The distance to the lowest polymorph of the same formula is 0 meV per atom. Its crystal system is monoclinic. The value obtained for the volume is 306.2 Å³/cell. For the total moment, the calculation gives 0.000 μB/atom.

Lattice parameters (Å, degrees): 9.316 5.375 6.858 90.00 116.91 90.00
Space group C2/m (No. 12)
Asymmetric unit:
V1 0.125 0.000 0.350
V2 0.138 0.263 0.651
Zn1 0.091 0.500 0.274
Ge1 0.163 0.000 0.990

***

Compound: PrSm2Y6
Source: Alexandria
Functional: PBE
Structure: optimized geometry

Calculated values
The distance to the lowest polymorph of the same formula is 9 meV per atom. Its crystal system is orthorhombic. The value obtained for the volume is 600.2 Å³/cell. For the total moment, the calculation gives 0.000 μB/atom.

Lattice parameters (Å, degrees): 3.512 10.374 16.474 90.00 90.00 90.00
Space group Immm (No. 71)
Asymmetric unit:
Pr1 0.000 0.000 0.000
Sm1 0.000 0.500 0.158
Y1 0.000 0.167 0.178
Y2 0.000 0.182 0.500

***

Compound: TaTi2InCu
Source: Alexandria
Functional: PBE
Structure: optimized geometry

Calculated values
Its crystal system is tetragonal. The calculation puts the total DFT energy (no corrections) at -25.6 eV per cell. The value obtained for the volume is 123.6 Å³/cell. For the total moment, the calculation gives 0.001 μB/atom.

Lattice parameters (Å, degrees): 4.932 4.932 5.081 90.00 90.00 90.00
Space group P4/mmm (No. 123)
Asymmetric unit:
Ta1 0.000 0.000 0.000
Ti1 0.000 0.500 0.500
In1 0.000 0.000 0.500
Cu1 0.500 0.500 0.000